one.
HfScRh4 | GGA-PBE | relaxed

Lattice parameters (Å, degrees): 3.1966 5.3378 6.9618 111.08 76.73 72.58
Sites, in units of the cell vectors:
Hf  0.0000  0.0000  0.0000
Sc  0.5000  0.5000  0.5000
Rh  0.8248  0.5190  0.8314
Rh  0.3303  0.0128  0.3266
Rh  0.1752  0.4810  0.1686
Rh  0.6697  0.9872  0.6734

## Properties
The volume comes out at 16.3 Å³ per atom.

=====

two.
HfScRh4 | GGA-PBE | relaxed

Lattice parameters (Å, degrees): 5.1938 5.1938 5.1938 60.00 60.00 60.00
Sites, in units of the cell vectors:
Sc  0.2500  0.2500  0.2500
Rh  0.6248  0.6248  0.1255
Rh  0.6248  0.1255  0.6248
Rh  0.6248  0.6248  0.6248
Rh  0.1255  0.6248  0.6248
Hf  0.0000  0.0000  0.0000

## Properties
The volume comes out at 16.5 Å³ per atom.

=====

two takes first place; second place is 0.076 eV/atom up.